No. 1
! HoScNbN3, optimized geometry, DFT GGA-PBE; values from VASP
! Uncorrected energy, eV/atom: -9.13
! Formation energy (no corrections), meV per atom: -1473
! Symmetry: No. 11
! Crystal system: monoclinic
! D(E_F), states/eV per atom: 0.353
! M_tot, μB per atom: 0.00
&SYSTEM
  ibrav = 0, nat = 12, ntyp = 4
/
ATOMIC_SPECIES
N 14.01 N.upf
Sc 44.96 Sc.upf
Ho 164.93 Ho.upf
Nb 92.91 Nb.upf
ATOMIC_POSITIONS crystal
N 0.750 0.257 0.508
N 0.250 0.962 0.842
N 0.250 0.743 0.492
N 0.750 0.038 0.158
N 0.250 0.448 0.831
N 0.750 0.552 0.169
Sc 0.250 0.772 0.044
Sc 0.750 0.228 0.956
Ho 0.750 0.658 0.693
Ho 0.250 0.342 0.307
Nb 0.750 0.860 0.359
Nb 0.250 0.140 0.641
CELL_PARAMETERS angstrom
-1.032 2.848 1.166
-3.579 -2.690 3.403
6.994 0.651 4.603

***

No. 2
! Sm2HoNbN4, optimized geometry, DFT GGA-PBE; values from VASP
! Uncorrected energy, eV/atom: -8.58
! Formation energy (no corrections), meV per atom: -1408
! Symmetry: No. 10
! Crystal system: monoclinic
! D(E_F), states/eV per atom: 0.262
! M_tot, μB per atom: 0.00
&SYSTEM
  ibrav = 0, nat = 8, ntyp = 4
/
ATOMIC_SPECIES
Nb 92.91 Nb.upf
Sm 150.36 Sm.upf
N 14.01 N.upf
Ho 164.93 Ho.upf
ATOMIC_POSITIONS crystal
Nb 0.000 0.000 0.000
Sm 0.000 0.500 0.500
Sm 0.500 0.000 0.500
N 0.000 0.760 0.226
N 0.500 0.229 0.222
N 0.000 0.240 0.774
N 0.500 0.771 0.778
Ho 0.500 0.500 0.000
CELL_PARAMETERS angstrom
3.398 0.000 0.000
0.000 5.893 0.118
0.000 -2.047 5.577

***

No. 3
! SrHo2NbN4, optimized geometry, DFT GGA-PBE; values from VASP
! Uncorrected energy, eV/atom: -8.02
! Formation energy (no corrections), meV per atom: -1241
! Symmetry: No. 63
! Crystal system: orthorhombic
! D(E_F), states/eV per atom: 0.392
! M_tot, μB per atom: 0.00
&SYSTEM
  ibrav = 0, nat = 16, ntyp = 4
/
ATOMIC_SPECIES
N 14.01 N.upf
Sr 87.62 Sr.upf
Ho 164.93 Ho.upf
Nb 92.91 Nb.upf
ATOMIC_POSITIONS crystal
N 0.574 0.148 0.250
N 0.257 0.515 0.117
N 0.000 0.000 0.000
N 0.000 0.000 0.500
N 0.257 0.515 0.383
N 0.743 0.485 0.617
N 0.426 0.852 0.750
N 0.743 0.485 0.883
Sr 0.901 0.803 0.250
Sr 0.099 0.197 0.750
Ho 0.371 0.743 0.966
Ho 0.371 0.743 0.534
Ho 0.629 0.257 0.034
Ho 0.629 0.257 0.466
Nb 0.833 0.667 0.750
Nb 0.167 0.333 0.250
CELL_PARAMETERS angstrom
-1.363 3.176 -0.019
-1.995 -2.769 -5.316
-9.795 -4.170 5.847

***

No. 4
! HoTaNbN3, optimized geometry, DFT GGA-PBE; values from VASP
! Uncorrected energy, eV/atom: -9.92
! Formation energy (no corrections), meV per atom: -1337
! Symmetry: No. 11
! Crystal system: monoclinic
! D(E_F), states/eV per atom: 0.204
! M_tot, μB per atom: 0.00
&SYSTEM
  ibrav = 0, nat = 12, ntyp = 4
/
ATOMIC_SPECIES
Ho 164.93 Ho.upf
N 14.01 N.upf
Nb 92.91 Nb.upf
Ta 180.95 Ta.upf
ATOMIC_POSITIONS crystal
Ho 0.250 0.357 0.310
Ho 0.750 0.643 0.690
N 0.250 0.732 0.496
N 0.750 0.556 0.150
N 0.250 0.961 0.853
N 0.750 0.268 0.504
N 0.250 0.444 0.850
N 0.750 0.039 0.147
Nb 0.750 0.881 0.365
Nb 0.250 0.119 0.635
Ta 0.750 0.232 0.950
Ta 0.250 0.768 0.050
CELL_PARAMETERS angstrom
3.157 0.000 0.000
0.000 5.587 0.155
0.000 -2.050 8.057

***

No. 5
! Tb2HoNbN4, optimized geometry, DFT GGA-PBE; values from VASP
! Uncorrected energy, eV/atom: -8.66
! Formation energy (no corrections), meV per atom: -1506
! Symmetry: No. 10
! Crystal system: monoclinic
! D(E_F), states/eV per atom: 0.268
! M_tot, μB per atom: 0.00
&SYSTEM
  ibrav = 0, nat = 8, ntyp = 4
/
ATOMIC_SPECIES
N 14.01 N.upf
Nb 92.91 Nb.upf
Tb 158.93 Tb.upf
Ho 164.93 Ho.upf
ATOMIC_POSITIONS crystal
N 0.500 0.233 0.231
N 0.000 0.240 0.765
N 0.000 0.760 0.235
N 0.500 0.767 0.769
Nb 0.000 0.000 0.000
Tb 0.500 0.000 0.500
Tb 0.000 0.500 0.500
Ho 0.500 0.500 0.000
CELL_PARAMETERS angstrom
-2.448 -1.112 2.019
3.598 -4.083 2.114
0.479 4.841 3.247

***

No. 6
! Ho2ThNbN4, optimized geometry, DFT GGA-PBE; values from VASP
! Uncorrected energy, eV/atom: -8.92
! Formation energy (no corrections), meV per atom: -1426
! Symmetry: No. 10
! Crystal system: monoclinic
! D(E_F), states/eV per atom: 0.330
! M_tot, μB per atom: 0.00
&SYSTEM
  ibrav = 0, nat = 8, ntyp = 4
/
ATOMIC_SPECIES
N 14.01 N.upf
Ho 164.93 Ho.upf
Nb 92.91 Nb.upf
Th 232.04 Th.upf
ATOMIC_POSITIONS crystal
N 0.500 0.233 0.239
N 0.000 0.235 0.749
N 0.500 0.767 0.761
N 0.000 0.765 0.251
Ho 0.000 0.500 0.500
Ho 0.500 0.000 0.500
Nb 0.000 0.000 0.000
Th 0.500 0.500 0.000
CELL_PARAMETERS angstrom
-1.269 -1.448 -2.818
5.380 0.100 -2.475
-0.692 -5.116 2.941

***

No. 7
! Ho2TiNbN5, optimized geometry, DFT GGA-PBE; values from VASP
! Uncorrected energy, eV/atom: -9.02
! Formation energy (no corrections), meV per atom: -1378
! Symmetry: No. 36
! Crystal system: orthorhombic
! D(E_F), states/eV per atom: 0.014
! M_tot, μB per atom: 0.00
&SYSTEM
  ibrav = 0, nat = 18, ntyp = 4
/
ATOMIC_SPECIES
N 14.01 N.upf
Nb 92.91 Nb.upf
Ho 164.93 Ho.upf
Ti 47.87 Ti.upf
ATOMIC_POSITIONS crystal
N 0.373 0.745 0.999
N 0.497 0.994 0.780
N 0.503 0.006 0.280
N 0.627 0.255 0.499
N 0.277 0.555 0.658
N 0.723 0.445 0.158
N 0.944 0.888 0.553
N 0.311 0.622 0.387
N 0.689 0.378 0.887
N 0.056 0.112 0.053
Nb 0.779 0.558 0.509
Nb 0.221 0.442 0.009
Ho 0.103 0.206 0.687
Ho 0.897 0.794 0.187
Ho 0.862 0.723 0.788
Ho 0.138 0.277 0.288
Ti 0.527 0.054 0.962
Ti 0.473 0.946 0.462
CELL_PARAMETERS angstrom
3.278 0.000 0.000
-1.639 6.614 0.000
0.000 0.000 10.234

***

No. 8
! HoTm2NbN4, optimized geometry, DFT GGA-PBE; values from VASP
! Uncorrected energy, eV/atom: -8.70
! Formation energy (no corrections), meV per atom: -1589
! Symmetry: No. 10
! Crystal system: monoclinic
! D(E_F), states/eV per atom: 0.289
! M_tot, μB per atom: 0.00
&SYSTEM
  ibrav = 0, nat = 8, ntyp = 4
/
ATOMIC_SPECIES
N 14.01 N.upf
Tm 168.93 Tm.upf
Ho 164.93 Ho.upf
Nb 92.91 Nb.upf
ATOMIC_POSITIONS crystal
N 0.500 0.237 0.240
N 0.000 0.239 0.756
N 0.500 0.763 0.760
N 0.000 0.761 0.244
Tm 0.000 0.500 0.500
Tm 0.500 0.000 0.500
Ho 0.500 0.500 0.000
Nb 0.000 0.000 0.000
CELL_PARAMETERS angstrom
3.318 0.000 0.000
0.000 5.768 0.118
0.000 -2.001 5.407